P | Below is a relaxed structure of Rb2PaSe4, with properties calculated at the GGA-PBE level.

a = 8.500 Å, b = 14.191 Å, c = 4.415 Å
α = 90.00°, β = 90.00°, γ = 90.00°
Space group Pbam (No. 55)
Inequivalent atoms, fractional coordinates:
Rb (0.066, 0.178, 0.000) x4
Pa (0.000, 0.500, 0.500) x2
Se (0.123, 0.674, 0.500) x4
Se (0.198, 0.452, 0.000) x4

Calculated values
DOS at the Fermi energy ... 0.9659 states/eV/atom


Q | Below is a relaxed structure of Rb2PaSe4, with properties calculated at the GGA-PBE level.

a = 5.577 Å, b = 5.577 Å, c = 17.337 Å
α = 90.00°, β = 90.00°, γ = 90.00°
Space group I4/mmm (No. 139)
Inequivalent atoms, fractional coordinates:
Rb (0.000, 0.000, 0.143) x4
Pa (0.000, 0.000, 0.500) x2
Se (0.000, 0.000, 0.345) x4
Se (0.000, 0.500, 0.000) x4

Calculated values
DOS at the Fermi energy ... 0.6634 states/eV/atom


How far above the most stable structure does each one sit? In meV per atom: P 45; Q 0.